A relaxed structure of SrAlTe2. Source: Alexandria via LeMat-Bulk, functional GGA-PBE.

Results
calculated volume	30.64	Å³ per atom
formation energy from raw total energies	-1.011	eV per formula unit
SG	No. 216

Cell: 5.575 5.575 5.575 Å, 60.00 60.00 60.00°
Fractional coordinates of all 4 atoms:
Sr 0.000 0.000 0.000
Al 0.750 0.750 0.750
Te 0.250 0.250 0.250
Te 0.500 0.500 0.500


A relaxed structure of La2Cd2Te. Source: Alexandria via LeMat-Bulk, functional GGA-PBE.

Results
calculated volume	30.76	Å³ per atom
energy relative to the lowest polymorph listed for this composition	0.049	eV per atom
formation energy from raw total energies	-2.441	eV per formula unit
SG	No. 127

Cell: 8.160 8.160 4.620 Å, 90.00 90.00 90.00°
Fractional coordinates of all 10 atoms:
La 0.168 0.332 0.000
La 0.332 0.832 0.000
La 0.668 0.168 0.000
La 0.832 0.668 0.000
Cd 0.126 0.626 0.500
Cd 0.374 0.126 0.500
Cd 0.626 0.874 0.500
Cd 0.874 0.374 0.500
Te 0.000 0.000 0.500
Te 0.500 0.500 0.500


A relaxed structure of Dy2URu2. Source: Alexandria via LeMat-Bulk, functional GGA-PBE.

Results
calculated volume	22.55	Å³ per atom
uncorrected energy	-81.91	eV/cell
SG	No. 15

Cell: 5.819 5.819 7.737 Å, 98.65 98.65 60.96°
Fractional coordinates of all 10 atoms:
Dy 0.023 0.279 0.151
Dy 0.279 0.023 0.651
Dy 0.721 0.977 0.349
Dy 0.977 0.721 0.849
U 0.355 0.645 0.250
U 0.645 0.355 0.750
Ru 0.247 0.506 0.486
Ru 0.494 0.753 0.014
Ru 0.506 0.247 0.986
Ru 0.753 0.494 0.514


A relaxed structure of Tb2ZrSc. Source: Alexandria via LeMat-Bulk, functional GGA-PBE.

Results
calculated volume	27.43	Å³ per atom
energy relative to the lowest polymorph listed for this composition	0.005	eV per atom
SG	No. 123

Cell: 3.384 3.384 9.582 Å, 90.00 90.00 90.00°
Fractional coordinates of all 4 atoms:
Tb 0.000 0.000 0.243
Tb 0.000 0.000 0.757
Zr 0.500 0.500 0.000
Sc 0.500 0.500 0.500


A relaxed structure of Ac8Te3Rh3Au. Source: Alexandria via LeMat-Bulk, functional GGA-PBE.

Results
calculated volume	36.25	Å³ per atom
formation energy from raw total energies	-14.605	eV per formula unit
SG	No. 166

Cell: 9.474 9.474 9.474 Å, 55.88 55.88 55.88°
Fractional coordinates of all 15 atoms:
Ac 0.225 0.742 0.742
Ac 0.237 0.237 0.237
Ac 0.258 0.258 0.775
Ac 0.258 0.775 0.258
Ac 0.742 0.225 0.742
Ac 0.742 0.742 0.225
Ac 0.763 0.763 0.763
Ac 0.775 0.258 0.258
Te 0.000 0.500 0.500
Te 0.500 0.000 0.500
Te 0.500 0.500 0.000
Rh 0.000 0.000 0.500
Rh 0.000 0.500 0.000
Rh 0.500 0.000 0.000
Au 0.500 0.500 0.500


A relaxed structure of LaCdCl. Source: Alexandria via LeMat-Bulk, functional GGA-PBE.

Results
calculated volume	31.70	Å³ per atom
energy relative to the lowest polymorph listed for this composition	0.050	eV per atom
formation energy from raw total energies	-2.752	eV per formula unit
SG	No. 156

Cell: 3.809 3.809 7.571 Å, 90.00 90.00 120.00°
Fractional coordinates of all 3 atoms:
La 0.000 0.000 0.000
Cd 0.667 0.333 0.333
Cl 0.333 0.667 0.740


A relaxed structure of Si2RhW2. Source: Alexandria via LeMat-Bulk, functional GGA-PBE.

Results
calculated volume	14.23	Å³ per atom
formation energy from raw total energies	-1.016	eV per formula unit
SG	No. 127

Cell: 6.080 6.080 3.849 Å, 90.00 90.00 90.00°
Fractional coordinates of all 10 atoms:
Si 0.134 0.366 0.000
Si 0.366 0.866 0.000
Si 0.634 0.134 0.000
Si 0.866 0.634 0.000
Rh 0.000 0.000 0.000
Rh 0.500 0.500 0.000
W 0.171 0.671 0.500
W 0.329 0.171 0.500
W 0.671 0.829 0.500
W 0.829 0.329 0.500


A relaxed structure of ZrFe2TcB. Source: Alexandria via LeMat-Bulk, functional GGA-PBE.

Results
calculated volume	13.21	Å³ per atom
uncorrected energy	-43.52	eV/cell
SG	No. 123

Cell: 3.956 3.956 4.222 Å, 90.00 90.00 90.00°
Fractional coordinates of all 5 atoms:
Zr 0.000 0.000 0.000
Fe 0.000 0.500 0.500
Fe 0.500 0.000 0.500
Tc 0.500 0.500 0.000
B 0.500 0.500 0.500